# Nd5AgAu2, relaxed, DFT PBE
data_Nd5AgAu2
_chemical_formula_sum 'Nd20 Ag4 Au8'
_cell_length_a 8.393
_cell_length_b 8.393
_cell_length_c 13.029
_cell_angle_alpha 90.00
_cell_angle_beta 90.00
_cell_angle_gamma 90.00
_space_group_name_H-M_alt 'I 4/m c m'
_space_group_IT_number 140
_space_group_name_Hall '-I 4 2c'
loop_
_atom_site_label
_atom_site_type_symbol
_atom_site_fract_x
_atom_site_fract_y
_atom_site_fract_z
Nd1 Nd 0.000 0.000 0.000
Nd2 Nd 0.159 0.341 0.146
Ag1 Ag 0.000 0.000 0.250
Au1 Au 0.131 0.369 0.500
# Uncorrected energy (eV per cell): -146.64
# Formation energy from the elements (kcal/mol of atoms): -9.85
# Size of the total moment (μB per formula unit): 0.000
# Mass density (g/cm³): 8.9

# Sm6Zn2Rh, relaxed, DFT PBE
data_Sm6Zn2Rh
_chemical_formula_sum 'Sm12 Zn4 Rh2'
_cell_length_a 6.858
_cell_length_b 7.391
_cell_length_c 12.373
_cell_angle_alpha 90.00
_cell_angle_beta 122.68
_cell_angle_gamma 90.00
_space_group_name_H-M_alt 'P 1 21/c 1'
_space_group_IT_number 14
loop_
_space_group_symop_operation_xyz
'x,y,z'
'-x,-y,-z'
'-x,y+1/2,-z+1/2'
'x,-y+1/2,z+1/2'
loop_
_atom_site_label
_atom_site_type_symbol
_atom_site_fract_x
_atom_site_fract_y
_atom_site_fract_z
Sm1 Sm 0.114 0.193 0.443
Sm2 Sm 0.258 0.678 0.443
Sm3 Sm 0.377 0.018 0.246
Zn1 Zn 0.191 0.104 0.745
Rh1 Rh 0.500 0.000 0.500
# Uncorrected energy (eV per cell): -80.35
# Formation energy from the elements (kcal/mol of atoms): -5.03
# Size of the total moment (μB per formula unit): 0.000
# Mass density (g/cm³): 7.1

# LiSbI2Br, relaxed, DFT PBE
data_LiSbI2Br
_chemical_formula_sum 'Li1 Sb1 I2 Br1'
_cell_length_a 6.648
_cell_length_b 6.648
_cell_length_c 5.465
_cell_angle_alpha 90.00
_cell_angle_beta 90.00
_cell_angle_gamma 90.00
_space_group_name_H-M_alt 'P 4/m m m'
_space_group_IT_number 123
_space_group_name_Hall '-P 4 2'
loop_
_atom_site_label
_atom_site_type_symbol
_atom_site_fract_x
_atom_site_fract_y
_atom_site_fract_z
Li1 Li 0.000 0.000 0.000
Sb1 Sb 0.500 0.500 0.000
I1 I 0.000 0.500 0.500
Br1 Br 0.500 0.500 0.500
# ΔE to the lowest computed polymorph (meV per atom): 218.9
# Uncorrected energy (eV per cell): -9.53
# Formation energy without anion corrections (eV/f.u.): 1.3
# Size of the total moment (μB per formula unit): 2.087
# Mass density (g/cm³): 3.2

Question: Look up the size of the total moment of the second one.
Answer: 0.000 μB per formula unit

Question: What is the mass density in the first record?
Answer: 8.9 g/cm³

Question: Which value of uncorrected energy does entry 2 give?
Answer: -80.35 eV per cell